No. 1
A relaxed structure of Ce3In3Tc2, computed with PBE.

The structure in POSCAR format:
```
Ce3In3Tc2
1.0
-2.1647 4.1243 -1.4884
-4.3514 -2.4028 -0.3295
0.8051 0.6164 8.5697
Ce In Tc
3 3 2
Cartesian
-2.6695 -0.5185 2.4460 Ce
-3.0415 2.8563 4.3058 Ce
0.0000 0.0000 0.0000 Ce
-1.4854 2.5677 1.2427 In
-3.2581 0.8607 -0.9090 In
-4.2256 -0.2298 5.5091 In
-0.4275 0.9616 3.2863 Tc
-5.2836 1.3762 3.4655 Tc
```

Computed properties:
space group	C2/m, No. 12
DOS at the Fermi energy	9.36	states/eV/cell
formation enthalpy at 0 K	-0.3317	eV/atom

No. 2
A relaxed structure of Be2GeAu6, computed with PBE.

The structure in POSCAR format:
```
Be2GeAu6
1.0
-3.2338 2.5576 2.6009
1.9527 -3.6146 2.6239
5.0577 4.2539 1.0790
Be Ge Au
2 1 6
Cartesian
2.1721 1.9061 1.8455 Be
1.6045 1.2908 4.4582 Be
-1.6169 1.2788 1.3004 Ge
4.3266 2.9159 1.2633 Au
0.8041 -0.0396 2.4312 Au
-0.5500 0.2810 5.0404 Au
2.9725 3.2366 3.8725 Au
3.6716 0.4649 3.3095 Au
0.1050 2.7320 2.9942 Au
```

Computed properties:
space group	C2/m, No. 12
DOS at the Fermi energy	2.61	states/eV/cell
formation enthalpy at 0 K	-0.0391	eV/atom

No. 3
A relaxed structure of KAgTe2, computed with PBE.

The structure in POSCAR format:
```
KAgTe2
1.0
-3.3550 1.4186 -3.6334
-4.2296 -0.9605 3.5305
1.7951 5.2812 0.4045
K Ag Te
1 1 2
Cartesian
-3.8996 -0.6187 3.3593 K
-2.5631 3.2132 -0.0213 Ag
-4.6775 2.7330 1.7437 Te
-3.4605 0.5731 -0.2235 Te
```

Computed properties:
space group	Cmmm, No. 65
DOS at the Fermi energy	0.66	states/eV/cell
E_form (uncorrected)	-0.405	eV/atom

Looking at calculated volume for the records above, in order, we have 198.0; 146.4; 150.2 Å³/cell.
Looking at uncorrected energy for the records above, in order, we have -49.403; -32.086; -11.852 eV for the cell shown.